1.
VASP calculation (GGA-PBE) on Li6Cd3Ga after structural relaxation.

**Calculated total energy**: -1.885 eV per atom
**Energy of formation from the pure elements**: -160 meV/atom
**DOS at the Fermi energy**: 0.206 states/eV/atom

abc: 5.1226 8.6087 8.6087
angles: 104.95 90.00 90.00
Atoms (fractional coordinates):
Li  0.0417  0.6733  0.5668
Li  0.0417  0.4332  0.3267
Li  0.9245  0.9824  0.5718
Li  0.9245  0.4282  0.0176
Li  0.4245  0.5718  0.9824
Li  0.2750  0.9577  0.0423
Li  0.4245  0.0176  0.4282
Li  0.7750  0.0423  0.9577
Li  0.6280  0.2463  0.7537
Li  0.1280  0.7537  0.2463
Li  0.5417  0.5668  0.6733
Li  0.5417  0.3267  0.4332
Cd  0.5772  0.6368  0.3632
Cd  0.9478  0.7025  0.8819
Cd  0.4478  0.8819  0.7025
Cd  0.9478  0.1181  0.2975
Cd  0.4478  0.2975  0.1181
Cd  0.0772  0.3632  0.6368
Ga  0.6773  0.8368  0.1632
Ga  0.1773  0.1632  0.8368


2.
VASP calculation (GGA-PBE) on NdTm3Mg3 after structural relaxation.

**Calculated total energy**: -3.281 eV per atom
**Energy of formation from the pure elements**: -1 meV/atom
**DOS at the Fermi energy**: 1.460 states/eV/atom

abc: 5.4949 9.0992 9.1100
angles: 119.98 90.00 90.00
Atoms (fractional coordinates):
Mg  0.2500  0.3825  0.4737
Mg  0.7500  0.6175  0.5263
Mg  0.7500  0.4740  0.0909
Mg  0.7500  0.9089  0.3831
Mg  0.2500  0.0911  0.6169
Mg  0.2500  0.5260  0.9091
Tm  0.2500  0.2364  0.0367
Tm  0.2500  0.8001  0.7630
Tm  0.2500  0.9626  0.1997
Tm  0.7500  0.0374  0.8003
Tm  0.7500  0.7636  0.9633
Tm  0.7500  0.1999  0.2370
Nd  0.7500  0.3342  0.6668
Nd  0.2500  0.6658  0.3332


3.
VASP calculation (GGA-PBE) on Mg2CoW after structural relaxation.

**Calculated total energy**: -5.024 eV per atom
**Energy of formation from the pure elements**: 788 meV/atom
**Energy above the lowest structure with this stoichiometry**: 636 meV/atom
**DOS at the Fermi energy**: 1.527 states/eV/atom

abc: 4.4933 4.4933 4.4933
angles: 60.00 60.00 60.00
Atoms (fractional coordinates):
Mg  0.2500  0.2500  0.2500
Mg  0.7500  0.7500  0.7500
W  0.5000  0.5000  0.5000
Co  0.0000  0.0000  0.0000


4.
VASP calculation (GGA-PBE) on SmTePd2 after structural relaxation.

**Calculated total energy**: -5.282 eV per atom
**ΔE_f (raw)**: -721 meV per atom
**DOS at the Fermi energy**: 0.438 states/eV/atom

abc: 4.3548 4.4002 4.4002
angles: 90.00 90.00 90.00
Atoms (fractional coordinates):
Sm  0.5000  0.5000  0.5000
Te  0.5000  0.0000  0.0000
Pd  0.0000  0.0000  0.5000
Pd  0.0000  0.5000  0.0000


5.
VASP calculation (GGA-PBE) on CsPaTcN3 after structural relaxation.

**Calculated total energy**: -8.325 eV per atom
**ΔE_f (raw)**: -710 meV per atom
**DOS at the Fermi energy**: 0.506 states/eV/atom

abc: 3.5666 9.7861 7.8418
angles: 110.96 90.00 90.00
Atoms (fractional coordinates):
Tc  0.2500  0.0648  0.6209
Tc  0.7500  0.9352  0.3791
Cs  0.7500  0.7440  0.7199
Cs  0.2500  0.2560  0.2801
N  0.7500  0.7953  0.1311
N  0.7500  0.1485  0.5586
N  0.7500  0.5055  0.1444
N  0.2500  0.4945  0.8556
N  0.2500  0.2047  0.8689
N  0.2500  0.8515  0.4414
Pa  0.2500  0.6514  0.1525
Pa  0.7500  0.3486  0.8475


6.
VASP calculation (GGA-PBE) on Pm3Nd7Sm after structural relaxation.

**Calculated total energy**: -4.541 eV per atom
**Energy of formation from the pure elements**: 218 meV/atom
**DOS at the Fermi energy**: 1.509 states/eV/atom

abc: 6.0015 8.6373 8.6373
angles: 83.04 110.24 110.24
Atoms (fractional coordinates):
Nd  0.7922  0.7915  0.7915
Nd  0.0000  0.5000  0.5000
Nd  0.2078  0.2085  0.2085
Nd  0.3006  0.5971  0.0043
Nd  0.6994  0.9957  0.4029
Nd  0.3006  0.0043  0.5971
Nd  0.6994  0.4029  0.9957
Pm  0.0000  0.7929  0.2071
Pm  0.5000  0.0000  0.0000
Pm  0.0000  0.2071  0.7929
Sm  0.5000  0.5000  0.5000


7.
VASP calculation (GGA-PBE) on BC2 after structural relaxation.

**Calculated total energy**: -8.075 eV per atom
**Energy of formation from the pure elements**: 301 meV/atom
**Energy above the lowest structure with this stoichiometry**: 61 meV/atom
**DOS at the Fermi energy**: 0.225 states/eV/atom

abc: 2.5068 2.5356 11.9722
angles: 90.00 90.00 90.00
Atoms (fractional coordinates):
C  0.0000  0.0000  0.0099
C  0.0000  0.5000  0.7600
C  0.5000  0.0000  0.2568
C  0.5000  0.0000  0.5789
C  0.0000  0.5000  0.4043
C  0.5000  0.5000  0.8287
C  0.0000  0.0000  0.3308
C  0.0000  0.5000  0.0779
B  0.0000  0.0000  0.6676
B  0.5000  0.5000  0.1698
B  0.5000  0.5000  0.4973
B  0.5000  0.0000  0.9180


8.
VASP calculation (GGA-PBE) on LiCa2Zn5Cu2 after structural relaxation.

**Calculated total energy**: -2.211 eV per atom
**Energy of formation from the pure elements**: -163 meV/atom
**DOS at the Fermi energy**: 0.553 states/eV/atom

abc: 3.7850 9.8438 9.8438
angles: 90.00 90.00 90.00
Atoms (fractional coordinates):
Zn  0.5000  0.0569  0.7962
Zn  0.5000  0.4431  0.2962
Zn  0.5000  0.7038  0.4431
Zn  0.5000  0.9431  0.2038
Zn  0.5000  0.0000  0.5000
Zn  0.5000  0.7962  0.9431
Zn  0.5000  0.2038  0.0569
Zn  0.5000  0.2962  0.5569
Zn  0.5000  0.5569  0.7038
Zn  0.5000  0.5000  0.0000
Ca  0.0000  0.1797  0.3203
Ca  0.0000  0.8203  0.6797
Ca  0.0000  0.3203  0.8203
Ca  0.0000  0.6797  0.1797
Cu  0.0000  0.3827  0.1173
Cu  0.0000  0.6173  0.8827
Cu  0.0000  0.8827  0.3827
Cu  0.0000  0.1173  0.6173
Li  0.0000  0.5000  0.5000
Li  0.0000  0.0000  0.0000


9.
VASP calculation (GGA-PBE) on TbPm3Dy6 after structural relaxation.

**Calculated total energy**: -4.501 eV per atom
**Energy of formation from the pure elements**: 148 meV/atom
**Energy above the lowest structure with this stoichiometry**: 0 meV/atom
**DOS at the Fermi energy**: 1.383 states/eV/atom

abc: 6.3237 10.9424 10.9424
angles: 119.82 90.00 90.00
Atoms (fractional coordinates):
Dy  0.3698  0.5311  0.9504
Dy  0.8698  0.4689  0.0496
Dy  0.5463  0.6210  0.7120
Dy  0.8796  0.0407  0.9593
Dy  0.8698  0.9504  0.5311
Dy  0.3796  0.9593  0.0407
Dy  0.0463  0.7120  0.6210
Dy  0.1480  0.7259  0.2741
Dy  0.6480  0.2741  0.7259
Dy  0.3698  0.0496  0.4689
Dy  0.0463  0.3790  0.2880
Dy  0.5463  0.2880  0.3790
Pm  0.9615  0.0617  0.2873
Pm  0.5706  0.6118  0.3882
Pm  0.4615  0.2873  0.0617
Pm  0.4615  0.9383  0.7127
Pm  0.9615  0.7127  0.9383
Pm  0.0706  0.3882  0.6118
Tb  0.6320  0.8025  0.1975
Tb  0.1320  0.1975  0.8025


10.
VASP calculation (GGA-PBE) on AcNd2Sb3 after structural relaxation.

**Calculated total energy**: -5.513 eV per atom
**ΔE_f (raw)**: -1178 meV per atom
**DOS at the Fermi energy**: 0.163 states/eV/atom

abc: 4.6197 6.5452 8.0002
angles: 114.15 106.78 90.00
Atoms (fractional coordinates):
Nd  0.6652  0.1652  0.3304
Nd  0.3348  0.8348  0.6696
Sb  0.6744  0.6744  0.3489
Sb  0.3256  0.3256  0.6511
Sb  0.0000  0.0000  0.0000
Ac  0.0000  0.5000  0.0000


11.
VASP calculation (GGA-PBE) on Zr2ZnC after structural relaxation.

**Calculated total energy**: -7.452 eV per atom
**Energy of formation from the pure elements**: -553 meV/atom
**DOS at the Fermi energy**: 0.311 states/eV/atom

abc: 3.3322 3.3322 7.3242
angles: 89.97 103.18 120.00
Atoms (fractional coordinates):
C  0.0000  0.0000  0.0000
Zr  0.4542  0.7267  0.1808
Zr  0.5458  0.2733  0.8191
Zn  0.0000  0.5000  0.5000


12.
VASP calculation (GGA-PBE) on TmThMnGa after structural relaxation.

**Calculated total energy**: -6.129 eV per atom
**Energy of formation from the pure elements**: -107 meV/atom
**DOS at the Fermi energy**: 0.774 states/eV/atom

abc: 5.0657 5.0657 5.0657
angles: 60.00 60.00 60.00
Atoms (fractional coordinates):
Mn  0.2500  0.2500  0.2500
Ga  0.7500  0.7500  0.7500
Tm  0.0000  0.0000  0.0000
Th  0.5000  0.5000  0.5000


13.
VASP calculation (GGA-PBE) on ReAsN2F after structural relaxation.

**Calculated total energy**: -6.720 eV per atom
**Energy above the lowest structure with this stoichiometry**: 0 meV/atom
**ΔE_f (raw)**: 404 meV per atom
**DOS at the Fermi energy**: 0.635 states/eV/atom

abc: 3.9228 3.9228 4.1352
angles: 90.00 90.00 90.00
Atoms (fractional coordinates):
Re  0.0000  0.0000  0.0000
N  0.0000  0.5000  0.0000
N  0.5000  0.0000  0.0000
As  0.5000  0.5000  0.5000
F  0.0000  0.0000  0.5000